Li2PbWF8 (GGA+U, optimized geometry); magnetization = 2.00 μB/cell; Fermi-level density of states = 0.00 states/eV/f.u.; E = -5.1624 eV/atom
1.0
-0.6969 3.4097 -3.2677
-2.6104 -2.7539 -3.2916
-6.6934 1.9759 2.4788
Li Pb W F
2 1 1 8
direct
0.4663 0.4588 0.7067 Li
0.5337 0.5412 0.2933 Li
0.0000 0.0000 0.5000 Pb
0.0000 0.0000 0.0000 W
0.1926 0.7772 0.2180 F
0.7112 0.7480 0.0482 F
0.8025 0.2213 0.1981 F
0.8074 0.2228 0.7820 F
0.2888 0.2520 0.9518 F
0.1975 0.7787 0.8019 F
0.6474 0.6968 0.5037 F
0.3526 0.3032 0.4963 F